{"formula": "Y2NiPdO6", "functional": "PBE+U", "state": "relaxed", "lattice": [[5.332, 0.000, 0.001], [0.000, 5.720, 0.000], [0.012, 0.000, 7.675]], "species": ["O", "O", "O", "O", "O", "Y", "O", "Y", "O", "Pd", "Y", "Ni", "O", "Pd", "O", "Ni", "O", "O", "Y", "O"], "frac_coords": [[0.312, 0.692, 0.059], [0.378, 0.954, 0.749], [0.812, 0.808, 0.559], [0.315, 0.697, 0.438], [0.878, 0.546, 0.249], [0.976, 0.077, 0.749], [0.685, 0.303, 0.562], [0.476, 0.423, 0.249], [0.188, 0.192, 0.441], [0.500, 0.000, 0.500], [0.024, 0.923, 0.251], [0.000, 0.500, 0.500], [0.185, 0.197, 0.062], [0.000, 0.500, 0.000], [0.815, 0.803, 0.938], [0.500, 0.000, 0.000], [0.688, 0.308, 0.941], [0.122, 0.454, 0.751], [0.524, 0.577, 0.751], [0.622, 0.046, 0.251]], "vol_a3_per_cell": 234, "spacegroup": "P2_1/c (14)", "energy_ev_per_atom": -7.171, "crystal_system": "monoclinic"}